# 1
# YThGaNi PBE-GGA optimized geometry
# total magnetic moment: 0.000 μB/atom
data_YThGaNi
_chemical_formula_sum 'Y1 Th1 Ga1 Ni1'
_space_group_name_H-M_alt 'P 1'
_space_group_IT_number 1
_cell_length_a 5.044
_cell_length_b 5.044
_cell_length_c 5.044
_cell_angle_alpha 60.00
_cell_angle_beta 60.00
_cell_angle_gamma 60.00
loop_
_space_group_symop_operation_xyz
'x,y,z'
loop_
_atom_site_label
_atom_site_type_symbol
_atom_site_fract_x
_atom_site_fract_y
_atom_site_fract_z
_atom_site_occupancy
Ga1 Ga 0.750 0.750 0.750 1
Ni1 Ni 0.250 0.250 0.250 1
Y1 Y 0.000 0.000 0.000 1
Th1 Th 0.500 0.500 0.500 1

=====

# 2
# YThGa2Ni2 PBE-GGA optimized geometry
# total magnetic moment: 0.000 μB/atom
data_YThGa2Ni2
_chemical_formula_sum 'Y1 Th1 Ga2 Ni2'
_space_group_name_H-M_alt 'P 1'
_space_group_IT_number 1
_cell_length_a 4.300
_cell_length_b 4.300
_cell_length_c 7.319
_cell_angle_alpha 90.00
_cell_angle_beta 90.00
_cell_angle_gamma 120.00
loop_
_space_group_symop_operation_xyz
'x,y,z'
loop_
_atom_site_label
_atom_site_type_symbol
_atom_site_fract_x
_atom_site_fract_y
_atom_site_fract_z
_atom_site_occupancy
Ga1 Ga 0.333 0.667 0.265 1
Ga2 Ga 0.667 0.333 0.735 1
Ni1 Ni 0.333 0.667 0.747 1
Ni2 Ni 0.667 0.333 0.253 1
Y1 Y 0.000 0.000 0.500 1
Th1 Th 0.000 0.000 0.000 1

=====

The calculated density results, record by record, are as follows: 8.2 8.2 g cm⁻³.
The E_form results, record by record, are as follows: -130 -337 kJ/mol of formula units.